LiCo2S4: optimized geometry, GGA-PBE.

a = 9.6274 Å, b = 9.6274 Å, c = 9.6274 Å
α = 90.00°, β = 90.00°, γ = 90.00°
With the nearest neighbours (Å) after each atom.
Space group Fd-3m (No. 227, origin choice 2)
Inequivalent atoms, fractional coordinates:
Li 0.1250 0.1250 0.1250 (multiplicity 8)  4 S 2.35
Co 0.0000 0.0000 0.5000 (multiplicity 16)  6 S 2.26
S 0.0162 0.0162 0.7338 (multiplicity 32)  3 Co 2.26, 1 Li 2.35

Calculated values
formation energy (no corrections): -0.5317 eV per atom
N(E_F): 0.897 states/eV/atom


Sc2AlH: optimized geometry, GGA-PBE.

a = 3.3242 Å, b = 3.3242 Å, c = 24.1772 Å
α = 90.00°, β = 90.00°, γ = 120.00°
With the nearest neighbours (Å) after each atom.
Space group R-3m (No. 166, hexagonal axes)
Inequivalent atoms, fractional coordinates:
Sc 0.0000 0.0000 0.0772 (multiplicity 6)  1 H 1.87
Al 0.0000 0.0000 0.5000 (multiplicity 3)  6 Sc 2.89
H 0.0000 0.0000 0.0000 (multiplicity 3)  2 Sc 1.87

Calculated values
total DFT energy (no corrections): -59.31 eV per cell
N(E_F): 0.378 states/eV/atom


BaCa3Ac: optimized geometry, GGA-PBE.

a = 3.9411 Å, b = 13.6057 Å, c = 17.5946 Å
α = 90.00°, β = 90.00°, γ = 90.00°
With the nearest neighbours (Å) after each atom.
Space group Immm (No. 71)
Inequivalent atoms, fractional coordinates:
Ba 0.0000 0.0000 0.0998 (multiplicity 4)  1 Ba 3.51, 4 Ca 3.85
Ca 0.0000 0.0000 0.3249 (multiplicity 4)  4 Ca 3.69-3.94, 1 Ba 3.96
Ca 0.0000 0.2709 0.3365 (multiplicity 8)  5 Ca 3.67-3.94, 2 Ba 3.85, 2 Ac 3.90
Ac 0.0000 0.3575 0.0000 (multiplicity 4)  3 Ac 3.88-3.94, 8 Ca 3.90-4.14

Calculated values
N(E_F): 1.687 states/eV/atom
calculated formation energy: 1.1 eV per formula unit


ScNiHg2: optimized geometry, GGA-PBE.

a = 3.4059 Å, b = 3.4059 Å, c = 24.3205 Å
α = 90.00°, β = 90.00°, γ = 120.00°
With the nearest neighbours (Å) after each atom.
Space group R-3m (No. 166, hexagonal axes)
Inequivalent atoms, fractional coordinates:
Sc 0.0000 0.0000 0.0000 (multiplicity 3)  6 Hg 2.98
Ni 0.0000 0.0000 0.5000 (multiplicity 3)  6 Hg 2.68
Hg 0.0000 0.0000 0.2413 (multiplicity 6)  3 Ni 2.68, 3 Sc 2.98

Calculated values
N(E_F): 0.988 states/eV/atom
calculated formation energy: 0.2 eV per formula unit


MgZn5Ag7: optimized geometry, GGA-PBE.

a = 5.2437 Å, b = 9.1721 Å, c = 9.3051 Å
α = 90.00°, β = 90.00°, γ = 90.00°
With the nearest neighbours (Å) after each atom.
Space group Imm2 (No. 44)
Inequivalent atoms, fractional coordinates:
Mg 0.0000 0.0000 0.0000 (multiplicity 2)  10 Ag 3.14-3.31, 6 Zn 3.42-3.47
Zn 0.0000 0.5000 0.2648 (multiplicity 2)  4 Zn 2.64, 6 Ag 2.74-2.92
Zn 0.2504 0.2482 0.7400 (multiplicity 8)  3 Zn 2.62-2.64, 7 Ag 2.67-2.83
Ag 0.0000 0.0000 0.3454 (multiplicity 2)  4 Zn 2.83, 5 Ag 2.86-3.09
Ag 0.0000 0.0000 0.6524 (multiplicity 2)  6 Zn 2.75-2.82, 1 Ag 2.86
Ag 0.0000 0.3042 0.4871 (multiplicity 4)  5 Zn 2.69-2.74, 3 Ag 2.79-2.95
Ag 0.0000 0.3426 0.9925 (multiplicity 4)  5 Zn 2.78-2.92, 4 Ag 2.89-2.95
Ag 0.0000 0.5000 0.7163 (multiplicity 2)  4 Zn 2.67, 6 Ag 2.79-2.95

Calculated values
N(E_F): 0.312 states/eV/atom
calculated formation energy: -0.7 eV per formula unit


CaTc2Ru: optimized geometry, GGA-PBE.

a = 3.1351 Å, b = 3.1351 Å, c = 7.1116 Å
α = 90.00°, β = 90.00°, γ = 90.00°
With the nearest neighbours (Å) after each atom.
Space group P4mm (No. 99)
Inequivalent atoms, fractional coordinates:
Ca 0.0000 0.0000 0.0000 (multiplicity 1)  4 Ru 3.00, 4 Ca 3.14, 4 Tc 3.14
Tc 0.0000 0.0000 0.5024 (multiplicity 1)  4 Tc 2.58, 4 Ru 2.70
Tc 0.5000 0.5000 0.6879 (multiplicity 1)  4 Tc 2.58, 1 Ru 2.86
Ru 0.5000 0.5000 0.2851 (multiplicity 1)  5 Tc 2.70-2.86, 4 Ca 3.00

Calculated values
N(E_F): 1.028 states/eV/atom
calculated formation energy: 1.4 eV per formula unit


Sm2ErSc: optimized geometry, GGA-PBE.

a = 4.9953 Å, b = 4.9953 Å, c = 4.8758 Å
α = 90.00°, β = 90.00°, γ = 90.00°
With the nearest neighbours (Å) after each atom.
Space group P4/mmm (No. 123)
Inequivalent atoms, fractional coordinates:
Sm 0.0000 0.5000 0.0000 (multiplicity 2)  4 Er 3.49, 4 Sc 3.49, 4 Sm 3.53
Er 0.0000 0.0000 0.5000 (multiplicity 1)  8 Sm 3.49, 4 Sc 3.53
Sc 0.5000 0.5000 0.5000 (multiplicity 1)  8 Sm 3.49, 4 Er 3.53

Calculated values
N(E_F): 1.539 states/eV/atom
calculated formation energy: 0.2 eV per formula unit


SiRh2W: optimized geometry, GGA-PBE.

a = 2.8318 Å, b = 4.4562 Å, c = 4.5403 Å
α = 90.00°, β = 90.00°, γ = 90.00°
With the nearest neighbours (Å) after each atom.
Space group Pmmm (No. 47)
Inequivalent atoms, fractional coordinates:
Si 0.0000 0.0000 0.0000 (multiplicity 1)  4 Rh 2.64, 4 W 2.68, 2 Si 2.83
Rh 0.0000 0.5000 0.5000 (multiplicity 1)  4 W 2.64, 6 Rh 2.68-2.83
Rh 0.5000 0.5000 0.0000 (multiplicity 1)  4 Si 2.64, 6 Rh 2.68-2.83
W 0.5000 0.0000 0.5000 (multiplicity 1)  4 Rh 2.64, 4 Si 2.68, 2 W 2.83

Calculated values
formation energy (no corrections): -0.1311 eV per atom
N(E_F): 0.685 states/eV/atom


- N(E_F) of number 5 (MgZn5Ag7)?
  0.312 states/eV/atom


- Which formula does entry 1 have?
  LiCo2S4


- The highest N(E_F) belongs to which entry?
  BaCa3Ac